{
  "formula": "Pm6Os2CBr3",
  "functional": "PBE",
  "state": "relaxed",
  "lattice_angstrom": [[3.503, -6.064, 0.000], [3.503, 6.064, 0.000], [-2.333, 0.000, 7.620]],
  "species": ["Pm", "Pm", "Pm", "Pm", "Pm", "Pm", "Os", "Os", "C", "Br", "Br", "Br"],
  "frac_coords": [[0.062, 0.374, 0.188], [0.252, 0.252, 0.813], [0.374, 0.062, 0.188], [0.626, 0.938, 0.812], [0.748, 0.748, 0.187], [0.938, 0.626, 0.812], [0.333, 0.667, 0.000], [0.667, 0.333, 0.000], [0.000, 0.000, 0.000], [0.164, 0.836, 0.500], [0.500, 0.500, 0.500], [0.836, 0.164, 0.500]],
  "formation_energy_uncorrected_kj_per_mol_fu": -825,
  "total_magnetization_mub_per_fu": 0.00
}